Nd4IrPd3 | PBE | relaxed

a b c (Å): 3.8956 4.6012 10.8569
angles (deg): 90.00 90.00 90.00
Sites, in units of the cell vectors:
Nd 0.5000 0.0000 0.6358
Pd 0.0000 0.5000 0.5845
Nd 0.0000 0.5000 0.8713
Nd 0.5000 0.5000 0.3538
Nd 0.0000 0.0000 0.1372
Pd 0.5000 0.0000 0.9124
Pd 0.0000 0.0000 0.4179
Ir 0.5000 0.5000 0.0871

Values from the calculation:
Crystal system: orthorhombic
N(E_F) in states/eV/f.u.: 5.66
Total DFT energy (no corrections) in Ry/atom: -0.45684

=====

Sr3Cd2Pd | PBE | relaxed

a b c (Å): 4.6324 13.2501 13.2499
angles (deg): 90.00 90.00 90.00
Sites, in units of the cell vectors:
Sr 0.7500 0.2075 0.2708
Cd 0.7500 0.5064 0.1992
Pd 0.2500 0.1282 0.1222
Cd 0.7500 0.3102 0.5133
Sr 0.7500 0.8722 0.4513
Cd 0.7500 0.9936 0.6992
Sr 0.7500 0.5491 0.6153
Pd 0.2500 0.3718 0.6222
Sr 0.2500 0.1278 0.5487
Sr 0.2500 0.4509 0.3847
Cd 0.2500 0.4936 0.8008
Sr 0.7500 0.2925 0.7708
Sr 0.7500 0.6278 0.9513
Sr 0.2500 0.3722 0.0487
Cd 0.7500 0.1898 0.0133
Sr 0.2500 0.7925 0.7292
Sr 0.2500 0.7075 0.2292
Cd 0.2500 0.8102 0.9867
Cd 0.2500 0.6898 0.4867
Sr 0.2500 0.0491 0.8847
Cd 0.2500 0.0064 0.3008
Sr 0.7500 0.9509 0.1153
Pd 0.7500 0.8718 0.8778
Pd 0.7500 0.6282 0.3778

Values from the calculation:
Crystal system: orthorhombic
N(E_F) in states/eV/f.u.: 4.04
Total DFT energy (no corrections) in Ry/atom: -0.17921